Crystalline TlHg2Mo at its relaxed geometry. Source: Alexandria, functional PBE.

POSCAR file:
```
TlHg2Mo
1.0
-2.148 1.099 -1.833
1.402 -1.231 -2.387
-5.144 -8.114 1.163
Hg Mo Tl
2 1 1
Cartesian
-2.376 -3.747 0.537
-0.196 -0.310 0.044
-1.659 -2.095 -1.819
-4.231 -6.152 -1.237
```

Output
Total energy in eV/cell: -11.75
Formation enthalpy at 0 K in eV per atom: 0.51

---

Crystalline VCr4W3 at its relaxed geometry. Source: Alexandria, functional PBE.

POSCAR file:
```
VCr4W3
1.0
3.007 0.000 0.000
0.000 3.007 0.000
0.000 0.000 12.003
Cr V W
4 1 3
Cartesian
0.000 0.000 10.556
0.000 0.000 7.517
0.000 0.000 4.486
0.000 0.000 1.446
1.503 1.503 0.000
1.503 1.503 6.001
1.503 1.503 2.947
1.503 1.503 9.055
```

Output
Total energy in eV/cell: -86.61
Formation enthalpy at 0 K in eV per atom: -0.02

---

Crystalline AcGdZnHg at its relaxed geometry. Source: Alexandria, functional PBE.

POSCAR file:
```
AcGdZnHg
1.0
5.448 0.000 0.000
2.724 4.718 0.000
2.724 1.573 4.448
Gd Zn Ac Hg
1 1 1 1
Cartesian
2.724 1.573 1.112
0.000 0.000 0.000
8.172 4.718 3.336
5.448 3.145 2.224
```

Output
Total energy in eV/cell: -21.16
Formation enthalpy at 0 K in eV per atom: -0.35

---

Crystalline SrMg4In2Au at its relaxed geometry. Source: Alexandria, functional PBE.

POSCAR file:
```
SrMg4In2Au
1.0
4.931 0.000 0.000
2.465 4.270 0.000
2.465 1.423 9.483
In Sr Mg Au
2 1 4 1
Cartesian
7.396 4.270 7.346
2.465 1.423 2.138
0.000 0.000 0.000
4.931 2.847 7.407
4.931 2.847 2.076
7.396 4.270 3.875
2.465 1.423 5.609
4.931 2.847 4.742
```

Output
Total energy in eV/cell: -19.02
Formation enthalpy at 0 K in eV per atom: -0.28